[1]
## NaZn3Pd (PBE)

Data for a relaxed structure of NaZn3Pd.

Size of the total moment   0.0 Bohr magnetons per cell
DOS(E_F)   0.411 states/eV per atom
ΔE to the lowest computed polymorph   110 meV/atom
Calculated formation energy   -0.091 eV per atom

```
data_NaZn3Pd
_chemical_formula_sum 'Na1 Zn3 Pd1'
_symmetry_space_group_name_H-M 'P m -3 m'
_symmetry_Int_Tables_number 221
_symmetry_space_group_name_Hall '-P 4 2 3'
_cell_length_a 4.8692
_cell_length_b 4.8692
_cell_length_c 4.8692
_cell_angle_alpha 90.00
_cell_angle_beta 90.00
_cell_angle_gamma 90.00
loop_
_atom_site_label
_atom_site_type_symbol
_atom_site_fract_x
_atom_site_fract_y
_atom_site_fract_z
Na1 Na 0.0000 0.0000 0.0000
Zn1 Zn 0.0000 0.5000 0.5000
Pd1 Pd 0.5000 0.5000 0.5000
```

=====

[2]
## Co2Ge (PBE)

Data for a relaxed structure of Co2Ge.

Size of the total moment   0.0 Bohr magnetons per cell
DOS(E_F)   0.990 states/eV per atom
Calculated formation energy   -0.098 eV per atom

```
data_Co2Ge
_chemical_formula_sum 'Co4 Ge2'
_symmetry_space_group_name_H-M 'P 63/m m c'
_symmetry_Int_Tables_number 194
_symmetry_space_group_name_Hall '-P 6c 2c'
_cell_length_a 3.9978
_cell_length_b 3.9978
_cell_length_c 5.0079
_cell_angle_alpha 90.00
_cell_angle_beta 90.00
_cell_angle_gamma 120.00
loop_
_atom_site_label
_atom_site_type_symbol
_atom_site_fract_x
_atom_site_fract_y
_atom_site_fract_z
Co1 Co 0.0000 0.0000 0.0000
Co2 Co 0.3333 0.6667 0.2500
Ge1 Ge 0.3333 0.6667 0.7500
```

=====

[3]
## AcNd2Ge (PBE)

Data for a relaxed structure of AcNd2Ge.

Size of the total moment   0.0 Bohr magnetons per cell
DOS(E_F)   1.541 states/eV per atom
ΔE to the lowest computed polymorph   360 meV/atom
Calculated formation energy   -0.049 eV per atom

```
data_AcNd2Ge
_chemical_formula_sum 'Ac4 Nd8 Ge4'
_symmetry_space_group_name_H-M 'F m -3 m'
_symmetry_Int_Tables_number 225
_symmetry_space_group_name_Hall '-F 4 2 3'
_cell_length_a 7.8474
_cell_length_b 7.8474
_cell_length_c 7.8474
_cell_angle_alpha 90.00
_cell_angle_beta 90.00
_cell_angle_gamma 90.00
loop_
_atom_site_label
_atom_site_type_symbol
_atom_site_fract_x
_atom_site_fract_y
_atom_site_fract_z
Ac1 Ac 0.0000 0.0000 0.0000
Nd1 Nd 0.2500 0.2500 0.2500
Ge1 Ge 0.0000 0.0000 0.5000
```

=====

Which value of calculated formation energy does entry 3 give? -0.049 eV per atom